DFT (PBE-GGA) results for an optimized crystal structure of RbCa3.

Geometry as CIF:
```
data_RbCa3
_chemical_formula_sum 'Rb1 Ca3'
_symmetry_space_group_name_H-M 'P 1'
_symmetry_Int_Tables_number 1
_symmetry_space_group_name_Hall 'P 1'
_cell_length_a 3.943
_cell_length_b 6.779
_cell_length_c 7.375
_cell_angle_alpha 90.00
_cell_angle_beta 90.00
_cell_angle_gamma 90.00
loop_
_atom_site_label
_atom_site_fract_x
_atom_site_fract_y
_atom_site_fract_z
_atom_site_occupancy
Rb1 0.000 0.000 0.000 1
Ca1 0.000 0.500 0.673 1
Ca2 0.500 0.000 0.501 1
Ca3 0.500 0.500 0.215 1
```

Computed properties:
**Formation energy**: 0.178 eV per atom

DFT (PBE-GGA) results for an optimized crystal structure of RbCa.

Geometry as CIF:
```
data_RbCa
_chemical_formula_sum 'Rb4 Ca4'
_symmetry_space_group_name_H-M 'P 1'
_symmetry_Int_Tables_number 1
_symmetry_space_group_name_Hall 'P 1'
_cell_length_a 8.191
_cell_length_b 8.191
_cell_length_c 8.274
_cell_angle_alpha 90.00
_cell_angle_beta 90.00
_cell_angle_gamma 90.00
loop_
_atom_site_label
_atom_site_fract_x
_atom_site_fract_y
_atom_site_fract_z
_atom_site_occupancy
Rb1 0.180 0.180 0.000 1
Rb2 0.320 0.680 0.500 1
Rb3 0.680 0.320 0.500 1
Rb4 0.820 0.820 0.000 1
Ca1 0.168 0.168 0.500 1
Ca2 0.332 0.668 0.000 1
Ca3 0.668 0.332 0.000 1
Ca4 0.832 0.832 0.500 1
```

Computed properties:
**Formation energy**: 0.468 eV per atom

DFT (PBE-GGA) results for an optimized crystal structure of Rb6Ca.

Geometry as CIF:
```
data_Rb6Ca
_chemical_formula_sum 'Rb6 Ca1'
_symmetry_space_group_name_H-M 'P 1'
_symmetry_Int_Tables_number 1
_symmetry_space_group_name_Hall 'P 1'
_cell_length_a 10.400
_cell_length_b 10.400
_cell_length_c 10.400
_cell_angle_alpha 109.47
_cell_angle_beta 109.47
_cell_angle_gamma 109.47
loop_
_atom_site_label
_atom_site_fract_x
_atom_site_fract_y
_atom_site_fract_z
_atom_site_occupancy
Rb1 0.250 0.500 0.750 1
Rb2 0.250 0.750 0.500 1
Rb3 0.500 0.250 0.750 1
Rb4 0.500 0.750 0.250 1
Rb5 0.750 0.250 0.500 1
Rb6 0.750 0.500 0.250 1
Ca1 0.000 0.000 0.000 1
```

Computed properties:
**Formation energy**: 0.463 eV per atom

DFT (PBE-GGA) results for an optimized crystal structure of RbCa.

Geometry as CIF:
```
data_RbCa
_chemical_formula_sum 'Rb4 Ca4'
_symmetry_space_group_name_H-M 'P 1'
_symmetry_Int_Tables_number 1
_symmetry_space_group_name_Hall 'P 1'
_cell_length_a 11.188
_cell_length_b 11.188
_cell_length_c 11.188
_cell_angle_alpha 92.05
_cell_angle_beta 92.05
_cell_angle_gamma 158.20
loop_
_atom_site_label
_atom_site_fract_x
_atom_site_fract_y
_atom_site_fract_z
_atom_site_occupancy
Rb1 0.131 0.170 0.301 1
Rb2 0.170 0.869 0.040 1
Rb3 0.830 0.131 0.960 1
Rb4 0.869 0.830 0.699 1
Ca1 0.136 0.455 0.591 1
Ca2 0.455 0.864 0.320 1
Ca3 0.545 0.136 0.680 1
Ca4 0.864 0.545 0.409 1
```

Computed properties:
**Formation energy**: 0.163 eV per atom

DFT (PBE-GGA) results for an optimized crystal structure of RbCa.

Geometry as CIF:
```
data_RbCa
_chemical_formula_sum 'Rb3 Ca3'
_symmetry_space_group_name_H-M 'P 1'
_symmetry_Int_Tables_number 1
_symmetry_space_group_name_Hall 'P 1'
_cell_length_a 11.020
_cell_length_b 11.020
_cell_length_c 11.020
_cell_angle_alpha 158.24
_cell_angle_beta 59.97
_cell_angle_gamma 124.86
loop_
_atom_site_label
_atom_site_fract_x
_atom_site_fract_y
_atom_site_fract_z
_atom_site_occupancy
Rb1 0.000 0.000 0.000 1
Rb2 0.519 0.221 0.298 1
Rb3 0.922 0.221 0.702 1
Ca1 0.237 0.836 0.401 1
Ca2 0.434 0.836 0.599 1
Ca3 0.587 0.587 0.000 1
```

Computed properties:
**Formation energy**: 0.230 eV per atom

DFT (PBE-GGA) results for an optimized crystal structure of RbCa5.

Geometry as CIF:
```
data_RbCa5
_chemical_formula_sum 'Rb1 Ca5'
_symmetry_space_group_name_H-M 'P 1'
_symmetry_Int_Tables_number 1
_symmetry_space_group_name_Hall 'P 1'
_cell_length_a 10.501
_cell_length_b 10.501
_cell_length_c 4.227
_cell_angle_alpha 90.00
_cell_angle_beta 90.00
_cell_angle_gamma 143.13
loop_
_atom_site_label
_atom_site_fract_x
_atom_site_fract_y
_atom_site_fract_z
_atom_site_occupancy
Rb1 0.000 0.000 0.000 1
Ca1 0.179 0.821 0.500 1
Ca2 0.336 0.664 0.000 1
Ca3 0.500 0.500 0.500 1
Ca4 0.664 0.336 0.000 1
Ca5 0.821 0.179 0.500 1
```

Computed properties:
**Formation energy**: 0.140 eV per atom

DFT (PBE-GGA) results for an optimized crystal structure of RbCa.

Geometry as CIF:
```
data_RbCa
_chemical_formula_sum 'Rb4 Ca4'
_symmetry_space_group_name_H-M 'P 1'
_symmetry_Int_Tables_number 1
_symmetry_space_group_name_Hall 'P 1'
_cell_length_a 11.217
_cell_length_b 11.217
_cell_length_c 11.217
_cell_angle_alpha 109.47
_cell_angle_beta 109.47
_cell_angle_gamma 109.47
loop_
_atom_site_label
_atom_site_fract_x
_atom_site_fract_y
_atom_site_fract_z
_atom_site_occupancy
Rb1 0.000 0.000 0.415 1
Rb2 0.000 0.415 0.000 1
Rb3 0.415 0.000 0.000 1
Rb4 0.585 0.585 0.585 1
Ca1 0.000 0.000 0.798 1
Ca2 0.000 0.798 0.000 1
Ca3 0.202 0.202 0.202 1
Ca4 0.798 0.000 0.000 1
```

Computed properties:
**Formation energy**: 0.529 eV per atom

DFT (PBE-GGA) results for an optimized crystal structure of RbCa.

Geometry as CIF:
```
data_RbCa
_chemical_formula_sum 'Rb2 Ca2'
_symmetry_space_group_name_H-M 'P 1'
_symmetry_Int_Tables_number 1
_symmetry_space_group_name_Hall 'P 1'
_cell_length_a 4.263
_cell_length_b 4.269
_cell_length_c 15.093
_cell_angle_alpha 82.78
_cell_angle_beta 82.58
_cell_angle_gamma 60.34
loop_
_atom_site_label
_atom_site_fract_x
_atom_site_fract_y
_atom_site_fract_z
_atom_site_occupancy
Rb1 0.222 0.230 0.353 1
Rb2 0.778 0.770 0.647 1
Ca1 0.364 0.361 0.899 1
Ca2 0.636 0.639 0.101 1
```

Computed properties:
**Formation energy**: 0.155 eV per atom

DFT (PBE-GGA) results for an optimized crystal structure of Rb2Ca.

Geometry as CIF:
```
data_Rb2Ca
_chemical_formula_sum 'Rb2 Ca1'
_symmetry_space_group_name_H-M 'P 1'
_symmetry_Int_Tables_number 1
_symmetry_space_group_name_Hall 'P 1'
_cell_length_a 11.159
_cell_length_b 11.159
_cell_length_c 11.159
_cell_angle_alpha 157.38
_cell_angle_beta 157.38
_cell_angle_gamma 32.21
loop_
_atom_site_label
_atom_site_fract_x
_atom_site_fract_y
_atom_site_fract_z
_atom_site_occupancy
Rb1 0.153 0.153 0.000 1
Rb2 0.847 0.847 0.000 1
Ca1 0.500 0.500 0.000 1
```

Computed properties:
**Formation energy**: 0.184 eV per atom
**Energy above the lowest structure with this stoichiometry**: 0.000 eV per atom

DFT (PBE-GGA) results for an optimized crystal structure of RbCa3.

Geometry as CIF:
```
data_RbCa3
_chemical_formula_sum 'Rb1 Ca3'
_symmetry_space_group_name_H-M 'P 1'
_symmetry_Int_Tables_number 1
_symmetry_space_group_name_Hall 'P 1'
_cell_length_a 5.832
_cell_length_b 5.832
_cell_length_c 5.832
_cell_angle_alpha 90.00
_cell_angle_beta 90.00
_cell_angle_gamma 90.00
loop_
_atom_site_label
_atom_site_fract_x
_atom_site_fract_y
_atom_site_fract_z
_atom_site_occupancy
Rb1 0.000 0.000 0.000 1
Ca1 0.000 0.500 0.500 1
Ca2 0.500 0.000 0.500 1
Ca3 0.500 0.500 0.000 1
```

Computed properties:
**Formation energy**: 0.223 eV per atom

Q: The highest formation energy belongs to which entry?
A: number 7